[1]
{"formula": "LaTiAu2", "functional": "PBE", "state": "relaxed", "lattice_angstrom": [[5.1283, 0.0000, 0.0000], [0.0000, 5.1283, 0.0000], [2.5642, 2.5642, 8.4638]], "species": ["Ti", "Ti", "Au", "Au", "Au", "Au", "La", "La"], "fractional_positions": [[0.5000, 0.5000, 0.0000], [0.2500, 0.7500, 0.5000], [0.5250, 0.1250, 0.2500], [0.2250, 0.6250, 0.2500], [0.3750, 0.4750, 0.7500], [0.8750, 0.7750, 0.7500], [0.0000, 0.0000, 0.0000], [0.7500, 0.2500, 0.5000]], "formation_enthalpy_0k_ev_per_fu": -0.287, "energy_ev_per_atom": -4.92, "crystal_system": "tetragonal"}



[2]
{"formula": "Y2TmSbN4", "functional": "PBE", "state": "relaxed", "lattice_angstrom": [[3.4672, 0.0000, 0.0000], [0.0000, 6.0324, 0.1190], [0.0000, -2.0995, 5.6325]], "species": ["Y", "Y", "Tm", "Sb", "N", "N", "N", "N"], "fractional_positions": [[0.5000, 0.0000, 0.5000], [0.0000, 0.5000, 0.5000], [0.5000, 0.5000, 0.0000], [0.0000, 0.0000, 0.0000], [0.5000, 0.2632, 0.2590], [0.5000, 0.7368, 0.7410], [0.0000, 0.2584, 0.7487], [0.0000, 0.7416, 0.2513]], "energy_ev_per_atom": -7.93, "crystal_system": "monoclinic"}